(1)
Material: BaYBO4
Method: DFT, PBE
State: optimized geometry

Values from the calculation:
Total moment   0.0 μB/f.u.
Energy relative to the elements, uncorrected   -2.980 eV per atom
D(E_F)   0.0 states/eV per cell
DFT total energy   -55.76 eV per formula unit

Lattice parameters (Å, degrees): 5.080 5.427 7.251 90.00 109.91 90.00
Fractional coordinates of all 14 atoms:
1 Ba 0.692 0.750 0.917
2 Ba 0.308 0.250 0.083
3 Y 0.783 0.750 0.464
4 Y 0.217 0.250 0.536
5 B 0.206 0.750 0.317
6 B 0.794 0.250 0.683
7 O 0.982 0.473 0.719
8 O 0.018 0.973 0.281
9 O 0.018 0.527 0.281
10 O 0.982 0.027 0.719
11 O 0.386 0.750 0.192
12 O 0.614 0.250 0.808
13 O 0.377 0.750 0.533
14 O 0.623 0.250 0.467


(2)
Material: BaZn2BO4
Method: DFT, PBE
State: optimized geometry

Values from the calculation:
Total moment   0.0 μB/f.u.
Energy relative to the elements, uncorrected   -1.683 eV per atom
D(E_F)   1.5 states/eV per cell
DFT total energy   -44.45 eV per formula unit

Lattice parameters (Å, degrees): 5.434 5.434 5.149 121.85 121.85 89.99
Fractional coordinates of all 8 atoms:
1 Ba 0.000 0.000 0.000
2 Zn 0.750 0.250 0.500
3 Zn 0.250 0.750 0.500
4 B 0.500 0.500 0.000
5 O 0.534 0.534 0.743
6 O 0.466 0.791 0.257
7 O 0.791 0.466 0.257
8 O 0.209 0.209 0.743


(3)
Material: Ba2ZrBO6
Method: DFT, PBE
State: optimized geometry

Values from the calculation:
Total moment   1.0 μB/f.u.
Energy relative to the elements, uncorrected   -2.224 eV per atom
D(E_F)   5.1 states/eV per cell
DFT total energy   -71.06 eV per formula unit

Lattice parameters (Å, degrees): 5.041 5.906 5.906 120.00 90.00 90.00
Last column: magnetic moment on the atom in μB.
Fractional coordinates of all 10 atoms:
1 Ba 0.172 0.333 0.667  -0.01
2 Ba 0.828 0.667 0.333  -0.01
3 Zr 0.500 0.000 0.000  -0.04
4 B 0.000 0.000 0.000  -0.01
5 O 0.797 0.143 0.286  0.15
6 O 0.797 0.143 0.857  0.15
7 O 0.797 0.714 0.857  0.15
8 O 0.203 0.857 0.143  0.15
9 O 0.203 0.286 0.143  0.15
10 O 0.203 0.857 0.714  0.15


(4)
Material: BaZrB2O6
Method: DFT, PBE
State: optimized geometry

Values from the calculation:
Total moment   0.0 μB/f.u.
Energy relative to the elements, uncorrected   -2.915 eV per atom
D(E_F)   0.0 states/eV per cell
DFT total energy   -82.73 eV per formula unit

Lattice parameters (Å, degrees): 11.991 11.991 11.991 25.11 25.11 25.11
Fractional coordinates of all 20 atoms:
1 Ba 0.750 0.750 0.750
2 Ba 0.250 0.250 0.250
3 Zr 0.000 0.000 0.000
4 Zr 0.500 0.500 0.500
5 B 0.631 0.631 0.631
6 B 0.869 0.869 0.869
7 B 0.369 0.369 0.369
8 B 0.131 0.131 0.131
9 O 0.342 0.833 0.217
10 O 0.333 0.842 0.717
11 O 0.158 0.283 0.667
12 O 0.717 0.333 0.842
13 O 0.658 0.167 0.783
14 O 0.283 0.667 0.158
15 O 0.667 0.158 0.283
16 O 0.833 0.217 0.342
17 O 0.167 0.783 0.658
18 O 0.783 0.658 0.167
19 O 0.217 0.342 0.833
20 O 0.842 0.717 0.333


(5)
Material: Ba3BOs
Method: DFT, PBE
State: optimized geometry

Values from the calculation:
Total moment   2.6 μB/f.u.
Polymorph energy (0 for the lowest one)   0.000 eV per atom
D(E_F)   4.3 states/eV per cell
DFT total energy   -17.85 eV per formula unit

Lattice parameters (Å, degrees): 5.857 5.857 5.857 90.00 90.00 90.00
Last column: magnetic moment on the atom in μB.
Fractional coordinates of all 5 atoms:
1 B 0.500 0.500 0.500  0.52
2 Os 0.000 0.000 0.000  0.27
3 Ba 0.000 0.500 0.000  0.05
4 Ba 0.000 0.000 0.500  0.03
5 Ba 0.500 0.000 0.000  0.06


(6)
Material: Ba2BOs2
Method: DFT, PBE
State: optimized geometry

Values from the calculation:
Total moment   0.1 μB/f.u.
Polymorph energy (0 for the lowest one)   0.000 eV per atom
D(E_F)   4.9 states/eV per cell
DFT total energy   -28.43 eV per formula unit

Lattice parameters (Å, degrees): 3.577 3.577 10.088 79.79 79.79 90.00
Fractional coordinates of all 5 atoms:
1 B 0.000 0.000 0.000
2 Os 0.750 0.250 0.500
3 Os 0.250 0.750 0.500
4 Ba 0.403 0.403 0.193
5 Ba 0.597 0.597 0.807


(7)
Material: BaBOs2
Method: DFT, PBE
State: optimized geometry

Values from the calculation:
Total moment   0.0 μB/f.u.
D(E_F)   9.3 states/eV per cell
DFT total energy   -28.58 eV per formula unit

Lattice parameters (Å, degrees): 4.904 4.904 8.131 72.45 72.45 90.00
Fractional coordinates of all 8 atoms:
1 B 0.500 0.500 0.000
2 B 0.250 0.750 0.500
3 Os 0.355 0.125 0.250
4 Os 0.395 0.625 0.250
5 Os 0.375 0.645 0.750
6 Os 0.875 0.605 0.750
7 Ba 0.000 0.000 0.000
8 Ba 0.750 0.250 0.500


(8)
Material: Ba2BOs2
Method: DFT, PBE
State: optimized geometry

Values from the calculation:
Total moment   0.0 μB/f.u.
Polymorph energy (0 for the lowest one)   0.849 eV per atom
D(E_F)   16.5 states/eV per cell
DFT total energy   -24.19 eV per formula unit

Lattice parameters (Å, degrees): 9.473 9.473 3.130 90.00 90.00 90.00
Fractional coordinates of all 10 atoms:
1 B 0.000 0.000 0.000
2 B 0.500 0.500 0.000
3 Os 0.084 0.584 0.500
4 Os 0.584 0.916 0.500
5 Os 0.916 0.416 0.500
6 Os 0.416 0.084 0.500
7 Ba 0.300 0.800 0.000
8 Ba 0.800 0.700 0.000
9 Ba 0.700 0.200 0.000
10 Ba 0.200 0.300 0.000


(9)
Material: BaB3Os
Method: DFT, PBE
State: optimized geometry

Values from the calculation:
Total moment   0.0 μB/f.u.
Polymorph energy (0 for the lowest one)   0.000 eV per atom
D(E_F)   1.1 states/eV per cell
DFT total energy   -31.97 eV per formula unit

Lattice parameters (Å, degrees): 4.256 4.256 4.256 90.00 90.00 90.00
Fractional coordinates of all 5 atoms:
1 B 0.000 0.500 0.000
2 B 0.000 0.000 0.500
3 B 0.500 0.000 0.000
4 Os 0.000 0.000 0.000
5 Ba 0.500 0.500 0.500


(10)
Material: BaB3Os
Method: DFT, PBE
State: optimized geometry

Values from the calculation:
Total moment   0.0 μB/f.u.
Polymorph energy (0 for the lowest one)   3.468 eV per atom
D(E_F)   10.7 states/eV per cell
DFT total energy   -14.63 eV per formula unit

Lattice parameters (Å, degrees): 4.418 4.418 4.418 90.00 90.00 90.00
Fractional coordinates of all 5 atoms:
1 B 0.000 0.500 0.000
2 B 0.000 0.000 0.500
3 B 0.500 0.000 0.000
4 Os 0.500 0.500 0.500
5 Ba 0.000 0.000 0.000


(11)
Material: BaBOs2Pb
Method: DFT, PBE
State: optimized geometry

Values from the calculation:
Total moment   1.2 μB/f.u.
D(E_F)   5.9 states/eV per cell
DFT total energy   -20.95 eV per formula unit

Lattice parameters (Å, degrees): 5.075 5.901 5.075 90.00 90.00 90.00
Last column: magnetic moment on the atom in μB.
Fractional coordinates of all 5 atoms:
1 Pb 0.000 0.000 0.000  -0.04
2 B 0.500 0.500 0.500  -0.26
3 Os 0.000 0.000 0.500  1.05
4 Os 0.500 0.000 0.000  0.92
5 Ba 0.000 0.500 0.000  -0.08


(12)
Material: BaBOsPb2
Method: DFT, PBE
State: optimized geometry

Values from the calculation:
Total moment   2.8 μB/f.u.
D(E_F)   4.2 states/eV per cell
DFT total energy   -14.19 eV per formula unit

Lattice parameters (Å, degrees): 6.216 4.694 6.216 90.00 90.00 90.00
Last column: magnetic moment on the atom in μB.
Fractional coordinates of all 5 atoms:
1 Pb 0.000 0.000 0.500  -0.09
2 Pb 0.500 0.000 0.000  -0.05
3 B 0.000 0.500 0.000  0.02
4 Os 0.500 0.500 0.500  2.74
5 Ba 0.000 0.000 0.000  0.00


What did the third record say?
Material: Ba2ZrBO6
Method: DFT, PBE
State: optimized geometry

Values from the calculation:
Total moment   1.0 μB/f.u.
Energy relative to the elements, uncorrected   -2.224 eV per atom
D(E_F)   5.1 states/eV per cell
DFT total energy   -71.06 eV per formula unit

Lattice parameters (Å, degrees): 5.041 5.906 5.906 120.00 90.00 90.00
Last column: magnetic moment on the atom in μB.
Fractional coordinates of all 10 atoms:
1 Ba 0.172 0.333 0.667  -0.01
2 Ba 0.828 0.667 0.333  -0.01
3 Zr 0.500 0.000 0.000  -0.04
4 B 0.000 0.000 0.000  -0.01
5 O 0.797 0.143 0.286  0.15
6 O 0.797 0.143 0.857  0.15
7 O 0.797 0.714 0.857  0.15
8 O 0.203 0.857 0.143  0.15
9 O 0.203 0.286 0.143  0.15
10 O 0.203 0.857 0.714  0.15